## CsNa2Ag2 (meta-GGA SCAN)

Data for CsNa2Ag2 at its PBEsol-relaxed geometry.

a b c (Å): 7.469 7.469 7.469
angles (deg): 141.52 141.52 55.55
Atoms (fractional coordinates):
Cs 0.000 0.000 0.000
Na 0.250 0.750 0.500
Na 0.750 0.250 0.500
Ag 0.397 0.397 0.000
Ag 0.603 0.603 0.000

- Size of the total moment: 0.00 μB/f.u.
- DOS(E_F): 1.8 states/eV/f.u.
- Formation energy: 0.03 eV per atom
- E_tot: -108.80 eV per cell